! PBE-GGA AcCdGe2Pt5, optimized geometry; values from VASP
&SYSTEM
  ibrav = 0, nat = 9, ntyp = 4
/
ATOMIC_SPECIES
Pt 195.08 Pt.upf
Ac 227.00 Ac.upf
Ge 72.64 Ge.upf
Cd 112.41 Cd.upf
ATOMIC_POSITIONS crystal
Pt 0.5000 0.5000 0.5000
Pt 0.5000 0.0000 0.7440
Pt 0.5000 0.0000 0.2560
Pt 0.0000 0.5000 0.7440
Pt 0.0000 0.5000 0.2560
Ac 0.0000 0.0000 0.5000
Ge 0.5000 0.5000 0.1326
Ge 0.5000 0.5000 0.8674
Cd 0.0000 0.0000 0.0000
CELL_PARAMETERS angstrom
4.3971 0.0000 0.0000
0.0000 4.3971 0.0000
0.0000 0.0000 9.0454
! Space-group type: No. 123
! Spin magnetization: 0.00 μB per formula unit
! Formation enthalpy at 0 K: -0.50 eV per atom
! N(E_F): 4.8 states/eV/f.u.
! Crystal system: tetragonal